This record from the Alexandria database describes an optimized crystal structure of ScMoI2O. The functional is GGA+U.

volume = 129 Å³ per cell
E above lowest polymorph = 314 kJ/mol of formula units

a = 5.7948 Å, b = 5.7948 Å, c = 3.8541 Å
α = 90.00°, β = 90.00°, γ = 90.00°
With the nearest neighbours (Å) after each atom.
Positions (direct):
1 I 0.0000 0.5000 0.0000  2 Mo 2.90
2 I 0.5000 0.0000 0.0000  2 Mo 2.90
3 Sc 0.5000 0.5000 0.5000  8 I 3.48, 2 Sc 3.85
4 Mo 0.0000 0.0000 0.0000  2 O 1.93
5 O 0.0000 0.0000 0.5000  2 Mo 1.93